(i)
Here is a geometry-optimized TbAgPd4 structure from Alexandria. Energies are from PBE.

a b c (Å): 5.347 5.347 5.347
angles (deg): 60.00 60.00 60.00
Sites, in units of the cell vectors:
Pd 0.625 0.625 0.625
Pd 0.124 0.625 0.625
Pd 0.625 0.625 0.124
Pd 0.625 0.124 0.625
Tb 0.250 0.250 0.250
Ag 0.000 0.000 0.000

***

(ii)
Here is a geometry-optimized TbAgPd4 structure from Alexandria. Energies are from PBE.

a b c (Å): 4.234 7.524 11.690
angles (deg): 141.12 90.00 106.34
Sites, in units of the cell vectors:
Pd 0.250 0.000 0.582
Pd 0.500 0.500 0.329
Pd 0.750 0.000 0.082
Pd 0.500 0.500 0.671
Pd 0.750 0.000 0.418
Pd 0.000 0.500 0.829
Pd 0.250 0.000 0.918
Pd 0.000 0.500 0.171
Ag 0.500 0.500 0.000
Ag 0.000 0.500 0.500
Tb 0.750 0.000 0.750
Tb 0.250 0.000 0.250

***

Relative energies in meV per atom: (i) 0; (ii) 42

***

(i)
Here is a geometry-optimized TbTmAgPd structure from Alexandria. Energies are from PBE.

a b c (Å): 3.544 3.544 7.179
angles (deg): 90.00 90.00 90.00
Sites, in units of the cell vectors:
Ag 0.000 0.000 0.848
Pd 0.000 0.000 0.366
Tm 0.500 0.500 0.596
Tb 0.500 0.500 0.117

***

(ii)
Here is a geometry-optimized TbTmAgPd structure from Alexandria. Energies are from PBE.

a b c (Å): 5.027 5.027 5.027
angles (deg): 60.00 60.00 60.00
Sites, in units of the cell vectors:
Ag 0.250 0.250 0.250
Pd 0.750 0.750 0.750
Tb 0.000 0.000 0.000
Tm 0.500 0.500 0.500

***

Relative energies in meV per atom: (i) 0; (ii) 13

***

(i)
Here is a geometry-optimized AgTePd structure from Alexandria. Energies are from PBE.

a b c (Å): 3.395 4.612 4.612
angles (deg): 120.00 90.00 90.00
Sites, in units of the cell vectors:
Te 0.167 0.000 0.000
Pd 0.167 0.667 0.333
Ag 0.667 0.333 0.667

***

(ii)
Here is a geometry-optimized AgTePd structure from Alexandria. Energies are from PBE.

a b c (Å): 4.539 4.539 4.539
angles (deg): 60.00 60.00 60.00
Sites, in units of the cell vectors:
Ag 0.500 0.500 0.500
Pd 0.250 0.250 0.250
Te 0.000 0.000 0.000

***

(iii)
Here is a geometry-optimized AgTePd structure from Alexandria. Energies are from PBE.

a b c (Å): 3.694 3.694 5.098
angles (deg): 111.24 111.24 90.00
Sites, in units of the cell vectors:
Pd 0.323 0.323 0.645
Ag 0.997 0.997 0.993
Te 0.681 0.681 0.362

***

Relative energies in meV per atom: (i) 146; (ii) 0; (iii) 96

***

(i)
Here is a geometry-optimized Ag2TePd6 structure from Alexandria. Energies are from PBE.

a b c (Å): 2.920 7.591 8.140
angles (deg): 117.79 100.33 90.00
Sites, in units of the cell vectors:
Ag 0.853 0.853 0.706
Ag 0.147 0.147 0.294
Pd 0.500 0.818 0.000
Pd 0.677 0.853 0.353
Pd 0.323 0.500 0.647
Pd 0.677 0.500 0.353
Pd 0.500 0.182 0.000
Pd 0.323 0.147 0.647
Te 0.000 0.500 0.000

***

(ii)
Here is a geometry-optimized Ag2TePd6 structure from Alexandria. Energies are from PBE.

a b c (Å): 2.892 7.834 7.834
angles (deg): 120.00 90.00 90.00
Sites, in units of the cell vectors:
Pd 0.195 0.336 0.000
Pd 0.805 0.336 0.336
Pd 0.805 0.664 0.000
Pd 0.195 0.000 0.336
Pd 0.195 0.664 0.664
Pd 0.805 0.000 0.664
Ag 0.500 0.333 0.667
Ag 0.500 0.667 0.333
Te 0.000 0.000 0.000

***

Relative energies in meV per atom: (i) 72; (ii) 0